Entry 1:
Here is a relaxed structure of Ho4BiIr2 from Alexandria via LeMat-Bulk. Energies are from PBE.

Values from the calculation:
Space group ... No. 74
ΔH_f (0 K) ... -14.2 kcal/mol of atoms
E_tot ... -6.316 eV/atom

Lattice parameters (Å, degrees): 8.095 8.095 8.096 111.21 111.12 106.12
Atoms (fractional coordinates):
Ho: 0.897 0.213 0.317
Ho: 0.354 0.537 0.183
Ho: 0.896 0.580 0.683
Ho: 0.787 0.104 0.683
Ho: 0.420 0.103 0.317
Ho: 0.353 0.170 0.817
Ho: 0.463 0.647 0.817
Ho: 0.830 0.646 0.183
Bi: 0.249 0.749 0.500
Bi: 0.001 0.001 0.000
Ir: 0.625 0.375 0.750
Ir: 0.625 0.875 0.250
Ir: 0.625 0.375 0.250
Ir: 0.125 0.375 0.750



Entry 2:
Here is a relaxed structure of LaYBe from Alexandria via LeMat-Bulk. Energies are from PBE.

Values from the calculation:
Space group ... No. 64
ΔH_f (0 K) ... 2.7 kcal/mol of atoms
E above lowest polymorph ... 0.000 eV per atom
E_tot ... -4.923 eV/atom

Lattice parameters (Å, degrees): 6.797 7.745 6.805 90.00 90.00 116.03
Atoms (fractional coordinates):
Be: 0.605 0.209 0.501
Be: 0.895 0.791 0.001
Be: 0.395 0.791 0.499
Be: 0.105 0.209 0.999
Y: 0.251 0.001 0.250
Y: 0.249 0.999 0.750
Y: 0.749 0.999 0.750
Y: 0.751 0.001 0.250
La: 0.805 0.609 0.498
La: 0.695 0.391 0.998
La: 0.195 0.391 0.502
La: 0.305 0.609 0.002



Entry 3:
Here is a relaxed structure of ZrTc2GeBi from Alexandria via LeMat-Bulk. Energies are from PBE.

Values from the calculation:
Space group ... No. 123
ΔH_f (0 K) ... 23.1 kcal/mol of atoms
E_tot ... -6.554 eV/atom

Lattice parameters (Å, degrees): 4.612 5.296 4.612 90.00 90.00 90.00
Each line ends with the local moment (μB).
Atoms (fractional coordinates):
Ge: 0.000 0.000 0.000  -0.04
Bi: 0.000 0.500 0.000  -0.02
Zr: 0.500 0.500 0.500  -0.12
Tc: 0.000 0.000 0.500  1.06
Tc: 0.500 0.000 0.000  0.85



Entry 4:
Here is a relaxed structure of Er2TmAu from Alexandria via LeMat-Bulk. Energies are from PBE.

Values from the calculation:
Space group ... No. 123
ΔH_f (0 K) ... -9.2 kcal/mol of atoms
E above lowest polymorph ... 0.063 eV per atom
E_tot ... -4.619 eV/atom

Lattice parameters (Å, degrees): 3.535 3.535 8.626 90.00 90.00 90.00
Atoms (fractional coordinates):
Tm: 0.500 0.500 0.500
Au: 0.500 0.500 0.000
Er: 0.000 0.000 0.791
Er: 0.000 0.000 0.209



Entry 5:
Here is a relaxed structure of TbSmEr3Sc from Alexandria via LeMat-Bulk. Energies are from PBE.

Values from the calculation:
Space group ... No. 63
ΔH_f (0 K) ... 0.9 kcal/mol of atoms
E_tot ... -4.858 eV/atom

Lattice parameters (Å, degrees): 4.943 7.813 9.894 90.00 90.00 108.44
Atoms (fractional coordinates):
Tb: 0.000 0.000 0.500
Tb: 0.000 0.000 0.000
Sm: 0.498 0.996 0.750
Sm: 0.502 0.004 0.250
Er: 0.668 0.336 0.500
Er: 0.332 0.664 0.500
Er: 0.332 0.664 0.000
Er: 0.668 0.336 0.000
Er: 0.170 0.339 0.750
Er: 0.830 0.661 0.250
Sc: 0.832 0.664 0.750
Sc: 0.168 0.336 0.250



Entry 6:
Here is a relaxed structure of Ac2YPt2 from Alexandria via LeMat-Bulk. Energies are from PBE.

Values from the calculation:
Space group ... No. 72
ΔH_f (0 K) ... -21.6 kcal/mol of atoms
E_tot ... -6.290 eV/atom

Lattice parameters (Å, degrees): 6.553 7.790 7.790 64.64 65.13 65.13
Atoms (fractional coordinates):
Ac: 0.346 0.293 0.014
Ac: 0.654 0.707 0.986
Ac: 0.154 0.986 0.707
Ac: 0.846 0.014 0.293
Y: 0.250 0.500 0.500
Y: 0.750 0.500 0.500
Pt: 0.100 0.657 0.142
Pt: 0.900 0.343 0.858
Pt: 0.400 0.858 0.343
Pt: 0.600 0.142 0.657



Entry 7:
Here is a relaxed structure of Tb2TlPb4 from Alexandria via LeMat-Bulk. Energies are from PBE.

Values from the calculation:
Space group ... No. 12
ΔH_f (0 K) ... -2.2 kcal/mol of atoms
E above lowest polymorph ... 0.140 eV per atom
E_tot ... -3.877 eV/atom

Lattice parameters (Å, degrees): 3.575 8.245 8.636 118.42 101.95 90.00
Atoms (fractional coordinates):
Tb: 0.783 0.855 0.565
Tb: 0.217 0.145 0.435
Tl: 0.000 0.000 0.000
Pb: 0.916 0.294 0.832
Pb: 0.084 0.706 0.168
Pb: 0.650 0.409 0.301
Pb: 0.350 0.591 0.699



Entry 8:
Here is a relaxed structure of Hf6Ga3Sn from Alexandria via LeMat-Bulk. Energies are from PBE.

Values from the calculation:
Space group ... No. 36
ΔH_f (0 K) ... -4.2 kcal/mol of atoms
E_tot ... -7.462 eV/atom

Lattice parameters (Å, degrees): 6.542 8.330 8.330 110.52 90.00 90.00
Atoms (fractional coordinates):
Hf: 0.105 0.756 0.681
Hf: 0.605 0.681 0.756
Hf: 0.276 0.518 0.913
Hf: 0.776 0.913 0.518
Hf: 0.266 0.970 0.030
Hf: 0.671 0.296 0.704
Hf: 0.171 0.704 0.296
Hf: 0.766 0.030 0.970
Hf: 0.276 0.087 0.482
Hf: 0.776 0.482 0.087
Hf: 0.105 0.319 0.244
Hf: 0.605 0.244 0.319
Ga: 0.450 0.984 0.731
Ga: 0.950 0.731 0.984
Ga: 0.324 0.443 0.557
Ga: 0.824 0.557 0.443
Ga: 0.950 0.016 0.269
Ga: 0.450 0.269 0.016
Sn: 0.062 0.178 0.822
Sn: 0.562 0.822 0.178



Entry 9:
Here is a relaxed structure of NaTa3Pt from Alexandria via LeMat-Bulk. Energies are from PBE.

Values from the calculation:
Space group ... No. 221
ΔH_f (0 K) ... 29.0 kcal/mol of atoms
E above lowest polymorph ... 0.000 eV per atom
E_tot ... -7.326 eV/atom

Lattice parameters (Å, degrees): 4.968 4.968 4.968 90.00 90.00 90.00
Atoms (fractional coordinates):
Na: 0.500 0.500 0.500
Pt: 0.000 0.000 0.000
Ta: 0.000 0.500 0.000
Ta: 0.000 0.000 0.500
Ta: 0.500 0.000 0.000



Entry 10:
Here is a relaxed structure of Tm3PaBi4 from Alexandria via LeMat-Bulk. Energies are from PBE.

Values from the calculation:
Space group ... No. 139
ΔH_f (0 K) ... -13.5 kcal/mol of atoms
E_tot ... -5.388 eV/atom

Lattice parameters (Å, degrees): 6.292 6.292 7.693 114.14 114.14 90.00
Each line ends with the local moment (μB).
Atoms (fractional coordinates):
Tm: 0.500 0.500 0.000  0.02
Tm: 0.750 0.250 0.500  0.01
Tm: 0.250 0.750 0.500  0.01
Pa: 0.000 0.000 0.000  0.84
Bi: 0.000 0.500 0.000  -0.02
Bi: 0.500 0.000 0.000  -0.02
Bi: 0.251 0.251 0.501  -0.01
Bi: 0.749 0.749 0.499  -0.01



Entry 11:
Here is a relaxed structure of Cs3Ac3TaO8 from Alexandria via LeMat-Bulk. Energies are from PBE.

Values from the calculation:
Space group ... No. 166
Formation energy from raw total energies ... -3699 kJ/mol of formula units
E_tot ... -6.983 eV/atom

Lattice parameters (Å, degrees): 7.477 7.477 8.327 116.69 90.00 120.00
Atoms (fractional coordinates):
Cs: 0.000 0.000 0.000
Cs: 0.000 0.500 0.000
Cs: 0.500 0.500 0.000
Ac: 0.500 0.000 0.500
Ac: 0.500 0.500 0.500
Ac: 0.000 0.500 0.500
Ta: 0.000 0.000 0.500
O: 0.277 0.554 0.332
O: 0.723 0.446 0.668
O: 0.815 0.630 0.351
O: 0.185 0.370 0.649
O: 0.815 0.036 0.351
O: 0.185 0.964 0.649
O: 0.221 0.036 0.351
O: 0.779 0.964 0.649



Entry 12:
Here is a relaxed structure of CsH3I from Alexandria via LeMat-Bulk. Energies are from PBE.

Values from the calculation:
Space group ... No. 221
E above lowest polymorph ... 1.022 eV per atom
E_tot ... -2.077 eV/atom

Lattice parameters (Å, degrees): 4.652 4.652 4.652 90.00 90.00 90.00
Atoms (fractional coordinates):
Cs: 0.500 0.500 0.500
I: 0.000 0.000 0.000
H: 0.000 0.500 0.000
H: 0.000 0.000 0.500
H: 0.500 0.000 0.000